Entry 1:
Ac2ScPaRh6, optimized geometry, DFT PBE; energy = -71.11 eV for the cell shown; density of states at the Fermi level = 5.90 states/eV per cell; formation enthalpy at 0 K = -0.296 eV per atom; mass density = 9.45 Mg/m³; space-group type = Fm-3m (225)
1.0
0.0000 4.9104 4.9104
4.9104 0.0000 4.9104
4.9104 4.9104 0.0000
Ac Sc Pa Rh
2 1 1 6
Cartesian
2.4552 2.4552 2.4552
7.3656 7.3656 7.3656
0.0000 0.0000 0.0000
4.9104 4.9104 4.9104
4.9104 4.9104 2.4248
4.9104 2.4248 4.9104
7.3960 4.9104 4.9104
2.4248 4.9104 4.9104
4.9104 7.3960 4.9104
4.9104 4.9104 7.3960

=====

Entry 2:
SnPt2Br2, optimized geometry, DFT PBE; energy = -37.03 eV for the cell shown; density of states at the Fermi level = 8.36 states/eV per cell; ΔE_f (raw) = 0.183 eV per atom; mass density = 7.80 Mg/m³; space-group type = I4/mmm (139)
1.0
3.6212 0.0000 0.0000
0.0000 3.6212 0.0000
0.0000 0.0000 21.7200
Sn Pt Br
2 4 4
Cartesian
0.0000 0.0000 0.0000
1.8106 1.8106 10.8600
0.0000 1.8106 5.4300
0.0000 1.8106 16.2900
1.8106 0.0000 5.4300
1.8106 0.0000 16.2900
0.0000 0.0000 9.0642
0.0000 0.0000 12.6558
1.8106 1.8106 1.7958
1.8106 1.8106 19.9242

=====

Entry 3:
Ca2GaPb2, optimized geometry, DFT PBE; energy = -31.14 eV for the cell shown; density of states at the Fermi level = 6.43 states/eV per cell; formation enthalpy at 0 K = -0.224 eV per atom; mass density = 6.09 Mg/m³; space-group type = P4/mbm (127)
1.0
8.1682 0.0000 0.0000
0.0000 8.1682 0.0000
0.0000 0.0000 4.6097
Ca Ga Pb
4 2 4
Cartesian
1.3231 2.7610 0.0000
2.7610 6.8450 0.0000
5.4072 1.3231 0.0000
6.8450 5.4072 0.0000
0.0000 0.0000 0.0000
4.0841 4.0841 0.0000
1.1443 5.2284 2.3048
2.9398 1.1443 2.3048
5.2284 7.0238 2.3048
7.0238 2.9398 2.3048

=====

Number 3 is which compound?
Ca2GaPb2